[1]
A plane-wave DFT calculation with PBE-GGA was carried out for crystalline Al3HI at its relaxed geometry.

```
data_Al3HI
_chemical_formula_sum 'Al3 H1 I1'
_symmetry_space_group_name_H-M 'P 1'
_symmetry_Int_Tables_number 1
_cell_length_a 4.563
_cell_length_b 4.563
_cell_length_c 4.563
_cell_angle_alpha 90.00
_cell_angle_beta 90.00
_cell_angle_gamma 90.00
loop_
_symmetry_equiv_pos_as_xyz
'x,y,z'
loop_
_atom_site_label
_atom_site_fract_x
_atom_site_fract_y
_atom_site_fract_z
_atom_site_occupancy
Al1 0.500 0.000 0.000 1
Al2 0.000 0.500 0.000 1
Al3 0.000 0.000 0.500 1
H1 0.000 0.000 0.000 1
I1 0.500 0.500 0.500 1
```

Computed properties:
- theoretical density (g cm⁻³) = 3.6
- size of the total moment (μB/cell) = 0.000
- D(E_F) (states/eV/cell) = 2.6
- total energy (eV per atom) = -2.64
- crystal system = cubic

[2]
A plane-wave DFT calculation with PBE-GGA was carried out for crystalline SiSbPdI2 at its relaxed geometry.

```
data_SiSbPdI2
_chemical_formula_sum 'Si1 Sb1 Pd1 I2'
_symmetry_space_group_name_H-M 'P 1'
_symmetry_Int_Tables_number 1
_cell_length_a 5.413
_cell_length_b 5.413
_cell_length_c 5.365
_cell_angle_alpha 90.00
_cell_angle_beta 90.00
_cell_angle_gamma 90.00
loop_
_symmetry_equiv_pos_as_xyz
'x,y,z'
loop_
_atom_site_label
_atom_site_fract_x
_atom_site_fract_y
_atom_site_fract_z
_atom_site_occupancy
Pd1 0.500 0.500 0.500 1
I1 0.500 0.000 0.000 1
I2 0.000 0.500 0.000 1
Sb1 0.000 0.000 0.500 1
Si1 0.000 0.000 0.000 1
```

Computed properties:
- theoretical density (g cm⁻³) = 5.4
- size of the total moment (μB/cell) = 0.000
- D(E_F) (states/eV/cell) = 4.8
- ΔE_f (raw) (meV/atom) = 738
- total energy (eV per atom) = -2.83
- crystal system = tetragonal

[3]
A plane-wave DFT calculation with PBE-GGA was carried out for crystalline Tb5Nd4Ho2 at its relaxed geometry.

```
data_Tb5Nd4Ho2
_chemical_formula_sum 'Tb5 Nd4 Ho2'
_symmetry_space_group_name_H-M 'P 1'
_symmetry_Int_Tables_number 1
_cell_length_a 5.683
_cell_length_b 6.662
_cell_length_c 10.035
_cell_angle_alpha 90.94
_cell_angle_beta 106.45
_cell_angle_gamma 90.00
loop_
_symmetry_equiv_pos_as_xyz
'x,y,z'
loop_
_atom_site_label
_atom_site_fract_x
_atom_site_fract_y
_atom_site_fract_z
_atom_site_occupancy
Nd1 0.306 0.929 0.612 1
Nd2 0.694 0.071 0.388 1
Nd3 0.981 0.712 0.962 1
Nd4 0.019 0.288 0.038 1
Tb1 0.792 0.598 0.583 1
Tb2 0.130 0.893 0.260 1
Tb3 0.500 0.000 0.000 1
Tb4 0.208 0.402 0.417 1
Tb5 0.870 0.107 0.740 1
Ho1 0.597 0.553 0.194 1
Ho2 0.403 0.447 0.806 1
```

Computed properties:
- theoretical density (g cm⁻³) = 7.8
- size of the total moment (μB/cell) = 0.000
- D(E_F) (states/eV/cell) = 15.7
- ΔE_f (meV per atom) = 107
- total energy (eV per atom) = -4.56
- crystal system = monoclinic

[4]
A plane-wave DFT calculation with PBE-GGA was carried out for crystalline Zr2AlHgF at its relaxed geometry.

```
data_Zr2AlHgF
_chemical_formula_sum 'Zr2 Al1 Hg1 F1'
_symmetry_space_group_name_H-M 'P 1'
_symmetry_Int_Tables_number 1
_cell_length_a 5.388
_cell_length_b 3.674
_cell_length_c 5.388
_cell_angle_alpha 90.00
_cell_angle_beta 90.00
_cell_angle_gamma 90.00
loop_
_symmetry_equiv_pos_as_xyz
'x,y,z'
loop_
_atom_site_label
_atom_site_fract_x
_atom_site_fract_y
_atom_site_fract_z
_atom_site_occupancy
Zr1 0.000 0.000 0.500 1
Zr2 0.500 0.000 0.000 1
F1 0.000 0.500 0.000 1
Al1 0.000 0.000 0.000 1
Hg1 0.500 0.500 0.500 1
```

Computed properties:
- theoretical density (g cm⁻³) = 6.7
- size of the total moment (μB/cell) = 0.000
- D(E_F) (states/eV/cell) = 4.3
- ΔE_f (raw) (meV/atom) = -179
- total energy (eV per atom) = -4.78
- crystal system = tetragonal

[5]
A plane-wave DFT calculation with PBE-GGA was carried out for crystalline BiPI at its relaxed geometry.

```
data_BiPI
_chemical_formula_sum 'Bi2 P2 I2'
_symmetry_space_group_name_H-M 'P 1'
_symmetry_Int_Tables_number 1
_cell_length_a 4.222
_cell_length_b 5.152
_cell_length_c 11.785
_cell_angle_alpha 84.70
_cell_angle_beta 79.80
_cell_angle_gamma 67.68
loop_
_symmetry_equiv_pos_as_xyz
'x,y,z'
loop_
_atom_site_label
_atom_site_fract_x
_atom_site_fract_y
_atom_site_fract_z
_atom_site_occupancy
I1 0.397 0.866 0.446 1
I2 0.100 0.823 0.087 1
P1 0.889 0.927 0.766 1
P2 0.472 0.340 0.766 1
Bi1 0.934 0.556 0.611 1
Bi2 0.790 0.536 0.922 1
```

Computed properties:
- theoretical density (g cm⁻³) = 5.2
- size of the total moment (μB/cell) = 0.000
- ΔE_f (raw) (meV/atom) = -78
- total energy (eV per atom) = -3.69
- crystal system = triclinic

[6]
A plane-wave DFT calculation with PBE-GGA was carried out for crystalline CaAgRh at its relaxed geometry.

```
data_CaAgRh
_chemical_formula_sum 'Ca4 Ag4 Rh4'
_symmetry_space_group_name_H-M 'P 1'
_symmetry_Int_Tables_number 1
_cell_length_a 4.615
_cell_length_b 9.927
_cell_length_c 5.426
_cell_angle_alpha 90.00
_cell_angle_beta 90.00
_cell_angle_gamma 90.00
loop_
_symmetry_equiv_pos_as_xyz
'x,y,z'
loop_
_atom_site_label
_atom_site_fract_x
_atom_site_fract_y
_atom_site_fract_z
_atom_site_occupancy
Rh1 0.500 0.021 0.221 1
Rh2 0.000 0.521 0.221 1
Rh3 0.500 0.979 0.721 1
Rh4 0.000 0.479 0.721 1
Ag1 0.500 0.572 0.487 1
Ag2 0.000 0.072 0.487 1
Ag3 0.000 0.928 0.987 1
Ag4 0.500 0.428 0.987 1
Ca1 0.500 0.282 0.493 1
Ca2 0.000 0.782 0.493 1
Ca3 0.000 0.218 0.993 1
Ca4 0.500 0.718 0.993 1
```

Computed properties:
- theoretical density (g cm⁻³) = 6.7
- size of the total moment (μB/cell) = 0.000
- D(E_F) (states/eV/cell) = 7.2
- ΔE_f (meV per atom) = -207
- total energy (eV per atom) = -4.28
- crystal system = orthorhombic

[7]
A plane-wave DFT calculation with PBE-GGA was carried out for crystalline LaPrGd at its relaxed geometry.

```
data_LaPrGd
_chemical_formula_sum 'La1 Pr1 Gd1'
_symmetry_space_group_name_H-M 'P 1'
_symmetry_Int_Tables_number 1
_cell_length_a 3.698
_cell_length_b 3.698
_cell_length_c 8.164
_cell_angle_alpha 103.09
_cell_angle_beta 103.09
_cell_angle_gamma 90.00
loop_
_symmetry_equiv_pos_as_xyz
'x,y,z'
loop_
_atom_site_label
_atom_site_fract_x
_atom_site_fract_y
_atom_site_fract_z
_atom_site_occupancy
La1 0.333 0.333 0.665 1
Pr1 0.001 0.001 0.003 1
Gd1 0.666 0.666 0.332 1
```

Computed properties:
- theoretical density (g cm⁻³) = 6.9
- size of the total moment (μB/cell) = 7.716
- D(E_F) (states/eV/cell) = 4.3
- ΔE_f (meV per atom) = 8
- total energy (eV per atom) = -7.92
- crystal system = tetragonal

[8]
A plane-wave DFT calculation with PBE-GGA was carried out for crystalline YAuNF2 at its relaxed geometry.

```
data_YAuNF2
_chemical_formula_sum 'Y1 Au1 N1 F2'
_symmetry_space_group_name_H-M 'P 1'
_symmetry_Int_Tables_number 1
_cell_length_a 4.275
_cell_length_b 4.275
_cell_length_c 4.858
_cell_angle_alpha 90.00
_cell_angle_beta 90.00
_cell_angle_gamma 90.00
loop_
_symmetry_equiv_pos_as_xyz
'x,y,z'
loop_
_atom_site_label
_atom_site_fract_x
_atom_site_fract_y
_atom_site_fract_z
_atom_site_occupancy
Au1 0.500 0.500 0.500 1
Y1 0.000 0.000 0.000 1
N1 0.000 0.000 0.500 1
F1 0.000 0.500 0.000 1
F2 0.500 0.000 0.000 1
```

Computed properties:
- theoretical density (g cm⁻³) = 6.3
- size of the total moment (μB/cell) = 1.025
- D(E_F) (states/eV/cell) = 1.0
- ΔE_f (raw) (meV/atom) = -1370
- total energy (eV per atom) = -5.73
- crystal system = tetragonal

[9]
A plane-wave DFT calculation with PBE-GGA was carried out for crystalline InBrCl at its relaxed geometry.

```
data_InBrCl
_chemical_formula_sum 'In2 Br2 Cl2'
_symmetry_space_group_name_H-M 'P 1'
_symmetry_Int_Tables_number 1
_cell_length_a 5.471
_cell_length_b 5.457
_cell_length_c 8.270
_cell_angle_alpha 109.26
_cell_angle_beta 92.42
_cell_angle_gamma 90.00
loop_
_symmetry_equiv_pos_as_xyz
'x,y,z'
loop_
_atom_site_label
_atom_site_fract_x
_atom_site_fract_y
_atom_site_fract_z
_atom_site_occupancy
In1 0.028 0.317 0.634 1
In2 0.483 0.111 0.222 1
Cl1 0.490 0.417 0.835 1
Cl2 0.696 0.683 0.367 1
Br1 0.487 0.919 0.837 1
Br2 0.193 0.684 0.368 1
```

Computed properties:
- theoretical density (g cm⁻³) = 3.3
- size of the total moment (μB/cell) = 0.000
- D(E_F) (states/eV/cell) = 1.9
- ΔE_f (raw) (meV/atom) = -368
- total energy (eV per atom) = -2.45
- crystal system = monoclinic

[10]
A plane-wave DFT calculation with PBE-GGA was carried out for crystalline Zr2TaPd2 at its relaxed geometry.

```
data_Zr2TaPd2
_chemical_formula_sum 'Zr4 Ta2 Pd4'
_symmetry_space_group_name_H-M 'P 1'
_symmetry_Int_Tables_number 1
_cell_length_a 7.774
_cell_length_b 7.774
_cell_length_c 3.190
_cell_angle_alpha 90.00
_cell_angle_beta 90.00
_cell_angle_gamma 90.00
loop_
_symmetry_equiv_pos_as_xyz
'x,y,z'
loop_
_atom_site_label
_atom_site_fract_x
_atom_site_fract_y
_atom_site_fract_z
_atom_site_occupancy
Pd1 0.633 0.867 0.500 1
Pd2 0.367 0.133 0.500 1
Pd3 0.133 0.633 0.500 1
Pd4 0.867 0.367 0.500 1
Zr1 0.665 0.165 0.000 1
Zr2 0.835 0.665 0.000 1
Zr3 0.165 0.335 0.000 1
Zr4 0.335 0.835 0.000 1
Ta1 0.500 0.500 0.000 1
Ta2 0.000 0.000 0.000 1
```

Computed properties:
- theoretical density (g cm⁻³) = 9.9
- size of the total moment (μB/cell) = 0.000
- D(E_F) (states/eV/cell) = 8.2
- ΔE_f (meV per atom) = -159
- total energy (eV per atom) = -8.03
- crystal system = tetragonal

[11]
A plane-wave DFT calculation with PBE-GGA was carried out for crystalline Zr4Ga3Co at its relaxed geometry.

```
data_Zr4Ga3Co
_chemical_formula_sum 'Zr4 Ga3 Co1'
_symmetry_space_group_name_H-M 'P 1'
_symmetry_Int_Tables_number 1
_cell_length_a 3.768
_cell_length_b 3.898
_cell_length_c 10.218
_cell_angle_alpha 90.00
_cell_angle_beta 90.00
_cell_angle_gamma 90.00
loop_
_symmetry_equiv_pos_as_xyz
'x,y,z'
loop_
_atom_site_label
_atom_site_fract_x
_atom_site_fract_y
_atom_site_fract_z
_atom_site_occupancy
Ga1 0.000 0.000 0.420 1
Ga2 0.000 0.500 0.579 1
Ga3 0.500 0.000 0.925 1
Zr1 0.500 0.000 0.650 1
Zr2 0.000 0.000 0.138 1
Zr3 0.500 0.500 0.342 1
Zr4 0.000 0.500 0.860 1
Co1 0.500 0.500 0.086 1
```

Computed properties:
- theoretical density (g cm⁻³) = 7.0
- size of the total moment (μB/cell) = 0.000
- D(E_F) (states/eV/cell) = 5.8
- ΔE_f (meV per atom) = -517
- total energy (eV per atom) = -6.81
- crystal system = orthorhombic

[12]
A plane-wave DFT calculation with PBE-GGA was carried out for crystalline Li2TaAs at its relaxed geometry.

```
data_Li2TaAs
_chemical_formula_sum 'Li2 Ta1 As1'
_symmetry_space_group_name_H-M 'P 1'
_symmetry_Int_Tables_number 1
_cell_length_a 2.723
_cell_length_b 2.723
_cell_length_c 8.994
_cell_angle_alpha 90.00
_cell_angle_beta 90.00
_cell_angle_gamma 90.00
loop_
_symmetry_equiv_pos_as_xyz
'x,y,z'
loop_
_atom_site_label
_atom_site_fract_x
_atom_site_fract_y
_atom_site_fract_z
_atom_site_occupancy
Li1 0.000 0.000 0.528 1
Li2 0.000 0.000 0.972 1
As1 0.500 0.500 0.750 1
Ta1 0.500 0.500 0.250 1
```

Computed properties:
- theoretical density (g cm⁻³) = 6.7
- size of the total moment (μB/cell) = 0.000
- D(E_F) (states/eV/cell) = 2.1
- ΔE_f (meV per atom) = 57
- total energy (eV per atom) = -5.03
- crystal system = tetragonal

Copy entry 12 word for word.
A plane-wave DFT calculation with PBE-GGA was carried out for crystalline Li2TaAs at its relaxed geometry.

```
data_Li2TaAs
_chemical_formula_sum 'Li2 Ta1 As1'
_symmetry_space_group_name_H-M 'P 1'
_symmetry_Int_Tables_number 1
_cell_length_a 2.723
_cell_length_b 2.723
_cell_length_c 8.994
_cell_angle_alpha 90.00
_cell_angle_beta 90.00
_cell_angle_gamma 90.00
loop_
_symmetry_equiv_pos_as_xyz
'x,y,z'
loop_
_atom_site_label
_atom_site_fract_x
_atom_site_fract_y
_atom_site_fract_z
_atom_site_occupancy
Li1 0.000 0.000 0.528 1
Li2 0.000 0.000 0.972 1
As1 0.500 0.500 0.750 1
Ta1 0.500 0.500 0.250 1
```

Computed properties:
- theoretical density (g cm⁻³) = 6.7
- size of the total moment (μB/cell) = 0.000
- D(E_F) (states/eV/cell) = 2.1
- ΔE_f (meV per atom) = 57
- total energy (eV per atom) = -5.03
- crystal system = tetragonal